(1)
Entry from the Alexandria database: NaZr2Fe2 after structural relaxation (PBE-GGA).

Cell lengths 7.560, 7.560, 3.234 Å; angles 90.00, 90.00, 90.00 degrees
Space group P4/mbm (No. 127)
Unique sites:
Na  0.000  0.000  0.000 [2 per cell]
Zr  0.154  0.346  0.500 [4 per cell]
Fe  0.128  0.628  0.000 [4 per cell]

## Properties
Energy relative to the lowest polymorph listed for this composition = 0 meV per atom
Energy of formation from the pure elements = 0.2528 eV/atom

=====

(2)
Entry from the Alexandria database: Pu2In8Rh after structural relaxation (PBE-GGA).

Cell lengths 4.672, 4.672, 12.196 Å; angles 90.00, 90.00, 90.00 degrees
Space group P4/mmm (No. 123)
Unique sites:
Pu  0.000  0.000  0.191 [2 per cell]
In  0.000  0.500  0.000 [2 per cell]
In  0.000  0.500  0.376 [4 per cell]
In  0.500  0.500  0.191 [2 per cell]
Rh  0.000  0.000  0.500 [1 per cell]

## Properties
Energy of formation from the pure elements = -0.2901 eV/atom

=====

(3)
Entry from the Alexandria database: Zn3AgAu3 after structural relaxation (PBE-GGA).

Cell lengths 6.927, 11.715, 7.114 Å; angles 90.00, 114.21, 90.00 degrees
Space group C2/m (No. 12)
Unique sites:
Zn  0.115  0.197  0.210 [8 per cell]
Zn  0.206  0.000  0.553 [4 per cell]
Ag  0.129  0.500  0.719 [4 per cell]
Au  0.000  0.279  0.500 [4 per cell]
Au  0.000  0.380  0.000 [4 per cell]
Au  0.088  0.000  0.848 [4 per cell]

## Properties
Energy relative to the lowest polymorph listed for this composition = 118 meV per atom
Energy of formation from the pure elements = -0.0211 eV/atom

=====

(4)
Entry from the Alexandria database: Ga2POsO after structural relaxation (PBE-GGA).

Cell lengths 4.618, 4.618, 3.794 Å; angles 90.00, 90.00, 90.00 degrees
Space group P4/mmm (No. 123)
Unique sites:
Ga  0.000  0.500  0.000 [2 per cell]
P  0.000  0.000  0.500 [1 per cell]
Os  0.500  0.500  0.500 [1 per cell]
O  0.500  0.500  0.000 [1 per cell]

## Properties
E_form (uncorrected) = 0.44 eV/atom

=====

(5)
Entry from the Alexandria database: Ho5SeS5 after structural relaxation (PBE-GGA).

Cell lengths 12.346, 5.530, 7.830 Å; angles 90.00, 108.20, 90.00 degrees
Space group C2/m (No. 12)
Unique sites:
Ho  0.000  0.000  0.000 [2 per cell]
Ho  0.163  0.500  0.821 [4 per cell]
Ho  0.168  0.500  0.344 [4 per cell]
Se  0.000  0.500  0.000 [2 per cell]
S  0.000  0.500  0.500 [2 per cell]
S  0.165  0.000  0.332 [4 per cell]
S  0.172  0.000  0.840 [4 per cell]

## Properties
E_form (uncorrected) = -2.00 eV/atom

=====

(6)
Entry from the Alexandria database: RbLiVI2 after structural relaxation (PBE-GGA).

Cell lengths 5.771, 5.771, 5.239 Å; angles 90.00, 90.00, 90.00 degrees
Space group P4/mmm (No. 123)
Unique sites:
Rb  0.000  0.000  0.000 [1 per cell]
Li  0.500  0.500  0.500 [1 per cell]
V  0.500  0.500  0.000 [1 per cell]
I  0.000  0.500  0.500 [2 per cell]

## Properties
E_form (uncorrected) = -0.05 eV/atom

=====

(7)
Entry from the Alexandria database: CaTeOs2W after structural relaxation (PBE-GGA).

Cell lengths 4.826, 4.826, 5.284 Å; angles 90.00, 90.00, 90.00 degrees
Space group P4/mmm (No. 123)
Unique sites:
Ca  0.000  0.000  0.000 [1 per cell]
Te  0.000  0.000  0.500 [1 per cell]
Os  0.000  0.500  0.500 [2 per cell]
W  0.500  0.500  0.000 [1 per cell]

## Properties
E_form (uncorrected) = 2.28 eV/atom

=====

(8)
Entry from the Alexandria database: Rb4NpSc3Se8 after structural relaxation (PBE-GGA).

Cell lengths 14.247, 8.227, 9.263 Å; angles 90.00, 120.84, 90.00 degrees
Space group C2/m (No. 12)
Unique sites:
Rb  0.000  0.000  0.000 [2 per cell]
Rb  0.000  0.500  0.000 [2 per cell]
Rb  0.250  0.250  0.000 [4 per cell]
Np  0.000  0.000  0.500 [2 per cell]
Sc  0.000  0.500  0.500 [2 per cell]
Sc  0.250  0.250  0.500 [4 per cell]
Se  0.023  0.260  0.310 [8 per cell]
Se  0.229  0.500  0.686 [4 per cell]
Se  0.236  0.000  0.689 [4 per cell]

## Properties
E_form (uncorrected) = -1.49 eV/atom

=====

(9)
Entry from the Alexandria database: Te3Rh after structural relaxation (PBE-GGA).

Cell lengths 4.573, 4.573, 4.573 Å; angles 90.00, 90.00, 90.00 degrees
Space group Pm-3m (No. 221)
Unique sites:
Te  0.000  0.000  0.500 [3 per cell]
Rh  0.500  0.500  0.500 [1 per cell]

## Properties
E_form (uncorrected) = 0.57 eV/atom

=====

(10)
Entry from the Alexandria database: Cs2PaTlCl8 after structural relaxation (PBE-GGA).

Cell lengths 7.282, 10.359, 7.485 Å; angles 90.00, 93.25, 90.00 degrees
Space group P2/m (No. 10)
Unique sites:
Cs  0.000  0.239  0.000 [2 per cell]
Pa  0.500  0.500  0.500 [1 per cell]
Tl  0.500  0.000  0.500 [1 per cell]
Cl  0.196  0.000  0.222 [2 per cell]
Cl  0.197  0.500  0.306 [2 per cell]
Cl  0.374  0.324  0.699 [4 per cell]

## Properties
E_form (uncorrected) = -1.75 eV/atom

=====

(11)
Entry from the Alexandria database: CrAgPt4 after structural relaxation (PBE-GGA).

Cell lengths 7.456, 7.456, 7.456 Å; angles 90.00, 90.00, 90.00 degrees
Space group F-43m (No. 216)
Unique sites:
Cr  0.000  0.000  0.000 [4 per cell]
Ag  0.250  0.250  0.250 [4 per cell]
Pt  0.125  0.125  0.625 [16 per cell]

## Properties
Energy of formation from the pure elements = 0.0407 eV/atom

=====

(12)
Entry from the Alexandria database: DyPa2B after structural relaxation (PBE-GGA).

Cell lengths 3.4111, 3.4111, 28.3596 Å; angles 90.00, 90.00, 120.00 degrees
Space group R-3m (No. 166, hexagonal axes)
Unique sites:
Dy  0.0000  0.0000  0.0000 [3 per cell]
Pa  0.0000  0.0000  0.1135 [6 per cell]
B  0.0000  0.0000  0.5000 [3 per cell]

## Properties
Energy of formation from the pure elements = 0.1796 eV/atom